1.
A geometry-optimized BeP4 structure, computed with PBE.

- ΔH_f (0 K): 422 kJ/mol of formula units
- ΔE to the lowest computed polymorph: 0.4598 eV/atom
- Total magnetic moment: 0.00 μB/atom

Unit cell a=4.2254 b=4.2254 c=4.2254 alpha=90.00 beta=90.00 gamma=90.00
Closest atoms and distances in Å follow each position.
Fractional positions:
Be1 0.0000 0.0000 0.0000  6 P 2.11
P1 0.0000 0.0000 0.5000  2 Be 2.11
P2 0.0000 0.5000 0.0000  2 Be 2.11
P3 0.5000 0.0000 0.0000  2 Be 2.11
P4 0.5000 0.5000 0.5000  12 P 2.99

=====

2.
A geometry-optimized ZnAg3Cl6 structure, computed with PBE.

- Formation energy (no corrections): -0.595 eV/atom
- ΔE to the lowest computed polymorph: 0.0000 eV/atom
- Total magnetic moment: 0.05 μB/atom

Unit cell a=8.9766 b=8.9766 c=6.4890 alpha=90.00 beta=90.00 gamma=107.57
Closest atoms and distances in Å follow each position.
Fractional positions:
Zn1 0.2054 0.7946 0.5000  4 Cl 2.24-2.33
Zn2 0.7946 0.2054 0.0000  4 Cl 2.24-2.33
Ag1 0.1136 0.2820 0.4343  5 Cl 2.64-2.92
Ag2 0.2820 0.1136 0.9343  5 Cl 2.64-2.92
Ag3 0.3787 0.6213 0.8767  4 Cl 2.50-2.58
Ag4 0.6213 0.3787 0.3767  4 Cl 2.50-2.58
Ag5 0.7180 0.8864 0.4343  5 Cl 2.64-2.92
Ag6 0.8864 0.7180 0.9343  5 Cl 2.64-2.92
Cl1 0.0682 0.9318 0.6854  1 Zn 2.32
Cl2 0.1308 0.5471 0.6493  1 Zn 2.33, 1 Ag 2.58
Cl3 0.1815 0.8185 0.1593  1 Zn 2.24
Cl4 0.2806 0.3850 0.1004  3 Ag 2.50-2.67
Cl5 0.3850 0.2806 0.6004  3 Ag 2.50-2.67
Cl6 0.4529 0.8692 0.6493  1 Zn 2.33, 1 Ag 2.58
Cl7 0.5471 0.1308 0.1493  1 Zn 2.33, 1 Ag 2.58
Cl8 0.6150 0.7194 0.1004  3 Ag 2.50-2.67
Cl9 0.7194 0.6150 0.6004  3 Ag 2.50-2.67
Cl10 0.8185 0.1815 0.6593  1 Zn 2.24
Cl11 0.8692 0.4529 0.1493  1 Zn 2.33, 1 Ag 2.58
Cl12 0.9318 0.0682 0.1854  1 Zn 2.32

=====

3.
A geometry-optimized ScAg2As2 structure, computed with PBE.

- ΔH_f (0 K): -122 kJ/mol of formula units
- ΔE to the lowest computed polymorph: 0.0000 eV/atom
- Total magnetic moment: 0.00 μB/atom

Unit cell a=7.2091 b=7.2091 c=7.2091 alpha=148.90 beta=148.90 gamma=44.55
Closest atoms and distances in Å follow each position.
Fractional positions:
Sc1 0.0000 0.0000 0.0000  8 As 3.03
Ag1 0.2500 0.7500 0.5000  4 Ag 2.73, 4 As 2.81
Ag2 0.7500 0.2500 0.5000  4 Ag 2.73, 4 As 2.81
As1 0.4025 0.4025 0.0000  1 As 2.60, 4 Ag 2.81
As2 0.5975 0.5975 0.0000  1 As 2.60, 4 Ag 2.81

=====

4.
A geometry-optimized PmHoHg structure, computed with PBE.

- ΔH_f (0 K): -88 kJ/mol of formula units
- ΔE to the lowest computed polymorph: 0.0000 eV/atom
- Total magnetic moment: 0.23 μB/atom

Unit cell a=6.9326 b=6.9326 c=6.9326 alpha=149.35 beta=149.35 gamma=43.89
Closest atoms and distances in Å follow each position.
Fractional positions:
Pm1 0.0000 0.0000 0.0000  4 Hg 3.35, 4 Ho 3.58, 4 Pm 3.66
Ho1 0.3078 0.3078 0.0000  4 Hg 3.17
Hg1 0.6652 0.6652 0.0000  4 Ho 3.17, 4 Pm 3.35

=====

5.
A geometry-optimized Li2BiTe2 structure, computed with PBE.

- Formation energy (no corrections): -0.387 eV/atom
- ΔE to the lowest computed polymorph: 0.1308 eV/atom
- Total magnetic moment: 0.00 μB/atom

Unit cell a=8.0440 b=8.0440 c=8.0440 alpha=150.37 beta=150.37 gamma=42.40
Closest atoms and distances in Å follow each position.
Fractional positions:
Li1 0.2500 0.7500 0.5000  4 Te 2.78, 4 Li 2.91
Li2 0.7500 0.2500 0.5000  4 Te 2.78, 4 Li 2.91
Bi1 0.0000 0.0000 0.0000  8 Te 3.46
Te1 0.3747 0.3747 0.0000  4 Li 2.78
Te2 0.6253 0.6253 0.0000  4 Li 2.78

=====

6.
A geometry-optimized Mn2BeGeAu structure, computed with PBE.

- ΔH_f (0 K): 303 kJ/mol of formula units
- Total magnetic moment: 1.57 μB/atom

Unit cell a=4.7755 b=4.7755 c=4.0827 alpha=90.00 beta=90.00 gamma=90.00
Closest atoms and distances in Å follow each position.
Fractional positions:
Mn1 0.0000 0.5000 0.0000  2 Ge 2.39
Mn2 0.5000 0.0000 0.0000  2 Ge 2.39
Be1 0.0000 0.0000 0.5000  2 Ge 2.04
Ge1 0.0000 0.0000 0.0000  2 Be 2.04
Au1 0.5000 0.5000 0.5000  8 Mn 3.14, 4 Be 3.38

=====

7.
A geometry-optimized DyNpIrAu structure, computed with PBE.

- ΔH_f (0 K): -152 kJ/mol of formula units
- Total magnetic moment: 1.03 μB/atom

Unit cell a=4.9721 b=4.9721 c=4.9721 alpha=60.00 beta=60.00 gamma=60.00
Closest atoms and distances in Å follow each position.
Fractional positions:
Dy1 0.0000 0.0000 0.0000  4 Ir 3.04, 4 Au 3.04
Np1 0.5000 0.5000 0.5000  4 Ir 3.04, 4 Au 3.04
Ir1 0.7500 0.7500 0.7500  4 Dy 3.04, 4 Np 3.04
Au1 0.2500 0.2500 0.2500  4 Dy 3.04, 4 Np 3.04

=====

8.
A geometry-optimized SmDyTh2Rh4 structure, computed with PBE.

- ΔH_f (0 K): -593 kJ/mol of formula units
- Total magnetic moment: 0.00 μB/atom

Unit cell a=6.9956 b=5.7566 c=6.8569 alpha=66.71 beta=49.10 gamma=64.20
Closest atoms and distances in Å follow each position.
Fractional positions:
Sm1 0.0000 0.0000 0.0000  6 Rh 2.86-3.00
Dy1 0.4287 0.4287 0.5713  6 Rh 2.75-2.95
Th1 0.2750 0.2750 0.2250  6 Rh 2.86-2.91
Th2 0.7750 0.7750 0.7250  6 Rh 2.86-2.91
Rh1 0.2967 0.7629 0.2371  1 Dy 2.75, 4 Th 2.86-2.91, 1 Sm 3.00
Rh2 0.5143 0.9176 0.4857  2 Sm 2.86-2.97, 2 Th 2.87, 2 Dy 2.89-2.95, 1 Rh 3.19
Rh3 0.7629 0.2967 0.7033  1 Dy 2.75, 4 Th 2.86-2.91, 1 Sm 3.00
Rh4 0.9176 0.5143 0.0824  2 Sm 2.86-2.97, 2 Th 2.87, 2 Dy 2.89-2.95, 1 Rh 3.19

=====

Question: Look up the total magnetic moment of the first one.
Answer: 0.00 μB/atom